Here is an optimized crystal structure of Pm12PrSi7 from Alexandria via LeMat-Bulk. Energies are from PBE.

a b c (Å): 15.0262 15.0262 8.6112
angles (deg): 90.00 90.00 120.00
Space group R-3m (No. 166, hexagonal axes)
Asymmetric unit:
1 Pm 0.0000 0.2669 0.0000 x18
2 Pm 0.1007 0.2014 0.3686 x18
3 Pr 0.0000 0.0000 0.0000 x3
4 Si 0.0000 0.0000 0.5000 x3
5 Si 0.1112 0.2225 0.7558 x18

Calculated values
**VASP energy**: -5.381 eV per atom
**Raw formation energy**: -7.9 eV/f.u.
**DOS at the Fermi energy**: 1.1904 states/eV per atom

Here is an optimized crystal structure of Ti6NbH8 from Alexandria via LeMat-Bulk. Energies are from PBE.

a b c (Å): 7.9725 7.9725 7.3347
angles (deg): 90.00 90.00 120.00
Space group R-3 (No. 148, hexagonal axes)
Asymmetric unit:
1 Ti 0.0489 0.8042 0.1593 x18
2 Nb 0.0000 0.0000 0.5000 x3
3 H 0.0000 0.0000 0.2333 x6
4 H 0.0496 0.7971 0.6579 x18

Calculated values
**VASP energy**: -5.900 eV per atom
**DOS at the Fermi energy**: 0.8809 states/eV per atom

Here is an optimized crystal structure of ScHOs2Au from Alexandria via LeMat-Bulk. Energies are from PBE.

a b c (Å): 4.0061 4.0061 4.1535
angles (deg): 90.00 90.00 90.00
Space group P4/mmm (No. 123)
Asymmetric unit:
1 Sc 0.0000 0.0000 0.0000 x1
2 H 0.5000 0.5000 0.5000 x1
3 Os 0.0000 0.5000 0.5000 x2
4 Au 0.5000 0.5000 0.0000 x1

Calculated values
**VASP energy**: -6.987 eV per atom
**DOS at the Fermi energy**: 0.6602 states/eV per atom

Here is an optimized crystal structure of TbLuTiAl from Alexandria via LeMat-Bulk. Energies are from PBE.

a b c (Å): 7.2158 7.2158 7.2158
angles (deg): 90.00 90.00 90.00
Space group F-43m (No. 216)
Asymmetric unit:
1 Tb 0.0000 0.0000 0.0000 x4
2 Lu 0.0000 0.0000 0.5000 x4
3 Ti 0.2500 0.2500 0.2500 x4
4 Al 0.2500 0.2500 0.7500 x4

Calculated values
**VASP energy**: -5.250 eV per atom
**DOS at the Fermi energy**: 1.2646 states/eV per atom
**Formation energy from the elements**: -5 kJ per mole of atoms

Here is an optimized crystal structure of PrPa2IrN4 from Alexandria via LeMat-Bulk. Energies are from PBE.

a b c (Å): 3.5219 11.7164 11.7894
angles (deg): 90.00 90.00 90.00
Space group Cmcm (No. 63)
Asymmetric unit:
1 Pr 0.0000 0.1066 0.2500 x4
2 Pa 0.0000 0.3693 0.0588 x8
3 Ir 0.0000 0.1568 0.7500 x4
4 N 0.0000 0.0000 0.0000 x4
5 N 0.0000 0.2727 0.6055 x8
6 N 0.0000 0.4532 0.2500 x4

Calculated values
**VASP energy**: -9.420 eV per atom
**Raw formation energy**: -9.4 eV/f.u.
**DOS at the Fermi energy**: 0.3210 states/eV per atom

Here is an optimized crystal structure of NaTb2In from Alexandria via LeMat-Bulk. Energies are from PBE.

a b c (Å): 5.1355 5.1355 4.2806
angles (deg): 90.00 90.00 90.00
Space group P4/mmm (No. 123)
Asymmetric unit:
1 Na 0.0000 0.0000 0.0000 x1
2 Tb 0.0000 0.5000 0.5000 x2
3 In 0.5000 0.5000 0.0000 x1

Calculated values
**VASP energy**: -3.426 eV per atom
**DOS at the Fermi energy**: 0.6939 states/eV per atom
**Formation energy from the elements**: -9 kJ per mole of atoms

Here is an optimized crystal structure of LaUOs4 from Alexandria via LeMat-Bulk. Energies are from PBE.

a b c (Å): 7.6314 7.6314 7.6314
angles (deg): 90.00 90.00 90.00
Space group F-43m (No. 216)
Asymmetric unit:
1 La 0.0000 0.0000 0.0000 x4
2 U 0.2500 0.2500 0.7500 x4
3 Os 0.1247 0.1247 0.3753 x16

Calculated values
**VASP energy**: -10.221 eV per atom
**DOS at the Fermi energy**: 1.3717 states/eV per atom
**Formation energy from the elements**: -3 kJ per mole of atoms

Here is an optimized crystal structure of Ba3PtICl from Alexandria via LeMat-Bulk. Energies are from PBE.

a b c (Å): 9.9373 4.7916 11.1644
angles (deg): 90.00 99.44 90.00
Space group P2_1/m (No. 11)
Asymmetric unit:
1 Ba 0.0737 0.2500 0.3552 x2
2 Ba 0.2306 0.2500 0.9366 x2
3 Ba 0.3489 0.7500 0.6340 x2
4 Pt 0.1426 0.2500 0.6493 x2
5 I 0.3637 0.7500 0.3155 x2
6 Cl 0.4138 0.7500 0.9102 x2

Calculated values
**VASP energy**: -3.865 eV per atom
**Raw formation energy**: -8.0 eV/f.u.
**DOS at the Fermi energy**: 0.6412 states/eV per atom

Which formula does entry 6 have?
NaTb2In

Which value of VASP energy does entry 5 give?
-9.420 eV per atom